Below is a relaxed Sr6Ca2MnFe7O24 crystal, with properties calculated at the PBE+U level.

**Volume**: 11.8 A^3/atom
**Total energy**: -6.424 eV per atom
**Total moment**: 33.66 μB/f.u.
**Density**: 5.04 g/cm3

abc: 7.7929 7.7929 7.7886
angles: 90.00 90.00 90.01
Atoms (fractional coordinates):
Sr1 0.2496 0.2496 0.0000
Sr2 0.2498 0.2498 0.4993
Sr3 0.2497 0.7503 0.9998
Sr4 0.7503 0.2497 0.9998
Sr5 0.7504 0.7504 0.0000
Sr6 0.7502 0.7502 0.4993
Ca1 0.2481 0.7519 0.4977
Ca2 0.7519 0.2481 0.4977
Mn1 0.0000 0.0000 0.2509
Fe1 0.0000 0.0000 0.7484
Fe2 0.0000 0.5000 0.2508
Fe3 0.0000 0.5000 0.7481
Fe4 0.5000 0.0000 0.2508
Fe5 0.5000 0.0000 0.7481
Fe6 0.5000 0.5000 0.2511
Fe7 0.5000 0.5000 0.7481
O1 0.0000 0.0000 0.0020
O2 0.0000 0.0000 0.4976
O3 0.0000 0.5000 0.5006
O4 0.0000 0.5000 0.9986
O5 0.0019 0.7489 0.7462
O6 0.0022 0.7522 0.2537
O7 0.2478 0.9978 0.2537
O8 0.2498 0.5016 0.7464
O9 0.2510 0.5017 0.2529
O10 0.2511 0.9981 0.7462
O11 0.4983 0.7490 0.2529
O12 0.4984 0.7502 0.7464
O13 0.5000 0.0000 0.5006
O14 0.5000 0.0000 0.9986
O15 0.5000 0.5000 0.9999
O16 0.5000 0.5000 0.4994
O17 0.5016 0.2498 0.7464
O18 0.5017 0.2510 0.2529
O19 0.7489 0.0019 0.7462
O20 0.7490 0.4983 0.2529
O21 0.7502 0.4984 0.7464
O22 0.7522 0.0022 0.2537
O23 0.9978 0.2478 0.2537
O24 0.9981 0.2511 0.7462